## ZnAs2Cl (PBE)

Data for a relaxed structure of ZnAs2Cl.

**Uncorrected energy**: -3.225 eV/atom
**E_form (uncorrected)**: -0.48 eV per formula unit
**Mass density**: 4.83 g/cm3
**Energy relative to the lowest polymorph listed for this composition**: 59 kJ/mol of formula units
**DOS at the Fermi energy**: 1.182 states/eV/f.u.
**Space group**: No. 10

```
4
Lattice="4.265 0.000 0.000 0.000 4.132 -0.007 0.000 2.002 4.892" Properties=species:S:1:pos:R:3 pbc="T T T"
As 0.000 5.731 4.500
As 0.000 3.469 2.828
Cl 2.133 1.533 1.221
Zn 2.133 4.600 3.664
```